Record 1
A relaxed structure of Cs2Pa3Te8. Source: Alexandria via LeMat-Bulk, functional PBE-GGA.

The structure in CIF format:
```
data_Cs2Pa3Te8
_chemical_formula_sum 'Cs2 Pa3 Te8'
_space_group_name_H-M_alt 'P 1'
_space_group_IT_number 1
_space_group_name_Hall 'P 1'
_cell_length_a 7.766
_cell_length_b 8.994
_cell_length_c 10.428
_cell_angle_alpha 115.55
_cell_angle_beta 104.77
_cell_angle_gamma 90.00
loop_
_atom_site_label
_atom_site_type_symbol
_atom_site_fract_x
_atom_site_fract_y
_atom_site_fract_z
_atom_site_occupancy
Cs1 Cs 0.329 0.259 0.518 1
Cs2 Cs 0.671 0.741 0.482 1
Pa1 Pa 0.500 0.000 0.000 1
Pa2 Pa 0.000 0.256 0.000 1
Pa3 Pa 0.000 0.744 0.000 1
Te1 Te 0.946 0.599 0.199 1
Te2 Te 0.054 0.401 0.801 1
Te3 Te 0.895 0.093 0.186 1
Te4 Te 0.105 0.907 0.814 1
Te5 Te 0.614 0.674 0.818 1
Te6 Te 0.614 0.144 0.818 1
Te7 Te 0.386 0.856 0.182 1
Te8 Te 0.386 0.326 0.182 1
```

Output
The space group is C2/m, No. 12. The value obtained for the formation energy from raw total energies is -11.880 eV/f.u. For the polymorph energy (0 for the lowest one), the calculation gives 0.0 meV per atom.

---

Record 2
A relaxed structure of MnVSi2. Source: Alexandria via LeMat-Bulk, functional PBE-GGA.

The structure in CIF format:
```
data_MnVSi2
_chemical_formula_sum 'Mn4 V4 Si8'
_space_group_name_H-M_alt 'P 1'
_space_group_IT_number 1
_space_group_name_Hall 'P 1'
_cell_length_a 5.206
_cell_length_b 4.313
_cell_length_c 8.617
_cell_angle_alpha 90.00
_cell_angle_beta 90.00
_cell_angle_gamma 90.00
loop_
_atom_site_label
_atom_site_type_symbol
_atom_site_fract_x
_atom_site_fract_y
_atom_site_fract_z
_atom_site_occupancy
Mn1 Mn 0.156 0.500 0.629 1
Mn2 Mn 0.844 0.500 0.371 1
Mn3 Mn 0.156 0.000 0.871 1
Mn4 Mn 0.844 0.000 0.129 1
V1 V 0.128 0.000 0.376 1
V2 V 0.872 0.000 0.624 1
V3 V 0.128 0.500 0.124 1
V4 V 0.872 0.500 0.876 1
Si1 Si 0.640 0.000 0.878 1
Si2 Si 0.360 0.000 0.122 1
Si3 Si 0.640 0.500 0.622 1
Si4 Si 0.360 0.500 0.378 1
Si5 Si 0.627 0.500 0.127 1
Si6 Si 0.373 0.500 0.873 1
Si7 Si 0.627 0.000 0.373 1
Si8 Si 0.373 0.000 0.627 1
```

Output
The space group is Pmna, No. 53. The value obtained for the formation energy from raw total energies is -1.522 eV/f.u.

---

Record 3
A relaxed structure of PuPbSeO2. Source: Alexandria via LeMat-Bulk, functional PBE-GGA.

The structure in CIF format:
```
data_PuPbSeO2
_chemical_formula_sum 'Pu2 Pb2 Se2 O4'
_space_group_name_H-M_alt 'P 1'
_space_group_IT_number 1
_space_group_name_Hall 'P 1'
_cell_length_a 3.995
_cell_length_b 6.751
_cell_length_c 8.043
_cell_angle_alpha 107.66
_cell_angle_beta 90.00
_cell_angle_gamma 90.00
loop_
_atom_site_label
_atom_site_type_symbol
_atom_site_fract_x
_atom_site_fract_y
_atom_site_fract_z
_atom_site_occupancy
Pu1 Pu 0.250 0.685 0.934 1
Pu2 Pu 0.750 0.315 0.066 1
Pb1 Pb 0.250 0.698 0.433 1
Pb2 Pb 0.750 0.302 0.567 1
Se1 Se 0.250 0.048 0.811 1
Se2 Se 0.750 0.952 0.189 1
O1 O 0.750 0.483 0.354 1
O2 O 0.250 0.517 0.646 1
O3 O 0.750 0.519 0.894 1
O4 O 0.250 0.481 0.106 1
```

Output
The space group is P2_1/m, No. 11. The value obtained for the formation energy from raw total energies is -9.082 eV/f.u.

---

Record 4
A relaxed structure of TbPmO3. Source: Alexandria via LeMat-Bulk, functional PBE-GGA.

The structure in CIF format:
```
data_TbPmO3
_chemical_formula_sum 'Tb1 Pm1 O3'
_space_group_name_H-M_alt 'P 1'
_space_group_IT_number 1
_space_group_name_Hall 'P 1'
_cell_length_a 3.125
_cell_length_b 6.094
_cell_length_c 6.094
_cell_angle_alpha 60.00
_cell_angle_beta 90.00
_cell_angle_gamma 90.00
loop_
_atom_site_label
_atom_site_type_symbol
_atom_site_fract_x
_atom_site_fract_y
_atom_site_fract_z
_atom_site_occupancy
Tb1 Tb 0.220 0.433 0.395 1
Pm1 Pm 0.220 0.099 0.062 1
O1 O 0.720 0.269 0.722 1
O2 O 0.720 0.269 0.232 1
O3 O 0.720 0.760 0.232 1
```

Output
The space group is P-6m2, No. 187. The value obtained for the formation energy from raw total energies is -16.392 eV/f.u.

---

Record 5
A relaxed structure of HoTmSn. Source: Alexandria via LeMat-Bulk, functional PBE-GGA.

The structure in CIF format:
```
data_HoTmSn
_chemical_formula_sum 'Ho2 Tm2 Sn2'
_space_group_name_H-M_alt 'P 1'
_space_group_IT_number 1
_space_group_name_Hall 'P 1'
_cell_length_a 3.738
_cell_length_b 8.281
_cell_length_c 8.220
_cell_angle_alpha 135.62
_cell_angle_beta 90.00
_cell_angle_gamma 103.04
loop_
_atom_site_label
_atom_site_type_symbol
_atom_site_fract_x
_atom_site_fract_y
_atom_site_fract_z
_atom_site_occupancy
Ho1 Ho 0.166 0.331 0.230 1
Ho2 Ho 0.834 0.669 0.770 1
Tm1 Tm 0.498 0.997 0.716 1
Tm2 Tm 0.502 0.003 0.284 1
Sn1 Sn 0.178 0.355 0.776 1
Sn2 Sn 0.822 0.645 0.224 1
```

Output
The space group is C2/m, No. 12. As for the formation energy: -0.367 eV per atom. For the polymorph energy (0 for the lowest one), the calculation gives 205.0 meV per atom.

---

Record 6
A relaxed structure of POsBr2. Source: Alexandria via LeMat-Bulk, functional PBE-GGA.

The structure in CIF format:
```
data_POsBr2
_chemical_formula_sum 'P1 Os1 Br2'
_space_group_name_H-M_alt 'P 1'
_space_group_IT_number 1
_space_group_name_Hall 'P 1'
_cell_length_a 4.675
_cell_length_b 4.675
_cell_length_c 4.675
_cell_angle_alpha 60.00
_cell_angle_beta 60.00
_cell_angle_gamma 60.00
loop_
_atom_site_label
_atom_site_type_symbol
_atom_site_fract_x
_atom_site_fract_y
_atom_site_fract_z
_atom_site_occupancy
P1 P 0.000 0.000 0.000 1
Os1 Os 0.500 0.500 0.500 1
Br1 Br 0.250 0.250 0.250 1
Br2 Br 0.750 0.750 0.750 1
```

Output
The space group is Fm-3m, No. 225. The value obtained for the formation energy from raw total energies is 6.091 eV/f.u. For the polymorph energy (0 for the lowest one), the calculation gives 1585.1 meV per atom.

---

Record 7
A relaxed structure of MnCoAg2. Source: Alexandria via LeMat-Bulk, functional PBE-GGA.

The structure in CIF format:
```
data_MnCoAg2
_chemical_formula_sum 'Mn1 Co1 Ag2'
_space_group_name_H-M_alt 'P 1'
_space_group_IT_number 1
_space_group_name_Hall 'P 1'
_cell_length_a 4.446
_cell_length_b 4.446
_cell_length_c 4.446
_cell_angle_alpha 60.00
_cell_angle_beta 60.00
_cell_angle_gamma 60.00
loop_
_atom_site_label
_atom_site_type_symbol
_atom_site_fract_x
_atom_site_fract_y
_atom_site_fract_z
_atom_site_occupancy
Mn1 Mn 0.000 0.000 0.000 1
Co1 Co 0.500 0.500 0.500 1
Ag1 Ag 0.250 0.250 0.250 1
Ag2 Ag 0.750 0.750 0.750 1
```

Output
The space group is Fm-3m, No. 225. As for the formation energy: 0.438 eV per atom. For the polymorph energy (0 for the lowest one), the calculation gives 198.0 meV per atom.

---

Record 8
A relaxed structure of Ce6HgS12. Source: Alexandria via LeMat-Bulk, functional PBE-GGA.

The structure in CIF format:
```
data_Ce6HgS12
_chemical_formula_sum 'Ce6 Hg1 S12'
_space_group_name_H-M_alt 'P 1'
_space_group_IT_number 1
_space_group_name_Hall 'P 1'
_cell_length_a 8.020
_cell_length_b 8.020
_cell_length_c 8.020
_cell_angle_alpha 100.42
_cell_angle_beta 100.42
_cell_angle_gamma 100.42
loop_
_atom_site_label
_atom_site_type_symbol
_atom_site_fract_x
_atom_site_fract_y
_atom_site_fract_z
_atom_site_occupancy
Ce1 Ce 0.134 0.298 0.614 1
Ce2 Ce 0.702 0.386 0.866 1
Ce3 Ce 0.386 0.866 0.702 1
Ce4 Ce 0.866 0.702 0.386 1
Ce5 Ce 0.298 0.614 0.134 1
Ce6 Ce 0.614 0.134 0.298 1
Hg1 Hg 0.000 0.000 0.000 1
S1 S 0.431 0.176 0.579 1
S2 S 0.176 0.579 0.431 1
S3 S 0.579 0.431 0.176 1
S4 S 0.569 0.824 0.421 1
S5 S 0.824 0.421 0.569 1
S6 S 0.421 0.569 0.824 1
S7 S 0.062 0.941 0.676 1
S8 S 0.324 0.938 0.059 1
S9 S 0.059 0.324 0.938 1
S10 S 0.938 0.059 0.324 1
S11 S 0.676 0.062 0.941 1
S12 S 0.941 0.676 0.062 1
```

Output
The space group is R-3, No. 148. The value obtained for the formation energy from raw total energies is -31.155 eV/f.u.

---

Record 9
A relaxed structure of RbZnTeN2. Source: Alexandria via LeMat-Bulk, functional PBE-GGA.

The structure in CIF format:
```
data_RbZnTeN2
_chemical_formula_sum 'Rb1 Zn1 Te1 N2'
_space_group_name_H-M_alt 'P 1'
_space_group_IT_number 1
_space_group_name_Hall 'P 1'
_cell_length_a 5.152
_cell_length_b 5.152
_cell_length_c 7.391
_cell_angle_alpha 90.00
_cell_angle_beta 90.00
_cell_angle_gamma 90.00
loop_
_atom_site_label
_atom_site_type_symbol
_atom_site_fract_x
_atom_site_fract_y
_atom_site_fract_z
_atom_site_occupancy
Zn1 Zn 0.500 0.500 0.500 1
Te1 Te 0.000 0.000 0.500 1
Rb1 Rb 0.000 0.000 0.000 1
N1 N 0.000 0.500 0.000 1
N2 N 0.500 0.000 0.000 1
```

Output
The space group is P4/mmm, No. 123. The value obtained for the formation energy from raw total energies is 10.405 eV/f.u. For the polymorph energy (0 for the lowest one), the calculation gives 939.0 meV per atom.

---

Record 10
A relaxed structure of RbP2O. Source: Alexandria via LeMat-Bulk, functional PBE-GGA.

The structure in CIF format:
```
data_RbP2O
_chemical_formula_sum 'Rb2 P4 O2'
_space_group_name_H-M_alt 'P 1'
_space_group_IT_number 1
_space_group_name_Hall 'P 1'
_cell_length_a 4.802
_cell_length_b 4.802
_cell_length_c 8.135
_cell_angle_alpha 72.83
_cell_angle_beta 72.83
_cell_angle_gamma 90.00
loop_
_atom_site_label
_atom_site_type_symbol
_atom_site_fract_x
_atom_site_fract_y
_atom_site_fract_z
_atom_site_occupancy
P1 P 0.375 0.125 0.250 1
P2 P 0.375 0.625 0.250 1
P3 P 0.375 0.625 0.750 1
P4 P 0.875 0.625 0.750 1
O1 O 0.500 0.500 0.000 1
O2 O 0.250 0.750 0.500 1
Rb1 Rb 0.000 0.000 0.000 1
Rb2 Rb 0.750 0.250 0.500 1
```

Output
The space group is I4_1/amd, No. 141. The value obtained for the formation energy from raw total energies is -0.289 eV/f.u.

---

Record 11
A relaxed structure of Ta3CdIn. Source: Alexandria via LeMat-Bulk, functional PBE-GGA.

The structure in CIF format:
```
data_Ta3CdIn
_chemical_formula_sum 'Ta3 Cd1 In1'
_space_group_name_H-M_alt 'P 1'
_space_group_IT_number 1
_space_group_name_Hall 'P 1'
_cell_length_a 5.012
_cell_length_b 5.012
_cell_length_c 5.012
_cell_angle_alpha 90.00
_cell_angle_beta 90.00
_cell_angle_gamma 90.00
loop_
_atom_site_label
_atom_site_type_symbol
_atom_site_fract_x
_atom_site_fract_y
_atom_site_fract_z
_atom_site_occupancy
Cd1 Cd 0.500 0.500 0.500 1
In1 In 0.000 0.000 0.000 1
Ta1 Ta 0.000 0.500 0.000 1
Ta2 Ta 0.000 0.000 0.500 1
Ta3 Ta 0.500 0.000 0.000 1
```

Output
The space group is Pm-3m, No. 221. As for the formation energy: 1.995 eV per atom. For the polymorph energy (0 for the lowest one), the calculation gives 59.5 meV per atom.

---

Record 12
A relaxed structure of Tm3PdRh. Source: Alexandria via LeMat-Bulk, functional PBE-GGA.

The structure in CIF format:
```
data_Tm3PdRh
_chemical_formula_sum 'Tm6 Pd2 Rh2'
_space_group_name_H-M_alt 'P 1'
_space_group_IT_number 1
_space_group_name_Hall 'P 1'
_cell_length_a 3.987
_cell_length_b 7.391
_cell_length_c 8.315
_cell_angle_alpha 107.77
_cell_angle_beta 90.00
_cell_angle_gamma 90.00
loop_
_atom_site_label
_atom_site_type_symbol
_atom_site_fract_x
_atom_site_fract_y
_atom_site_fract_z
_atom_site_occupancy
Tm1 Tm 0.750 0.631 0.395 1
Tm2 Tm 0.250 0.369 0.605 1
Tm3 Tm 0.750 0.314 0.942 1
Tm4 Tm 0.250 0.899 0.759 1
Tm5 Tm 0.250 0.686 0.058 1
Tm6 Tm 0.750 0.101 0.241 1
Pd1 Pd 0.250 0.922 0.391 1
Pd2 Pd 0.750 0.078 0.609 1
Rh1 Rh 0.250 0.372 0.202 1
Rh2 Rh 0.750 0.628 0.798 1
```

Output
The space group is P2_1/m, No. 11. As for the formation energy: -0.751 eV per atom. For the polymorph energy (0 for the lowest one), the calculation gives 0.0 meV per atom.

---

Electronic total energy across the listed records, respectively: -5.170, -7.664, -8.105, -8.130, -4.717, -3.474, -5.057, -6.136, -2.326, -4.259, -5.848, -5.943 eV per atom.
M_tot across the listed records, respectively: 1.176, 0.000, 8.000, 0.000, 0.000, 1.099, 5.443, 2.332, 5.516, 0.000, 0.000, 0.000 Bohr magnetons per cell.